#A
{
  "formula": "GeOsSe3",
  "functional": "PBE",
  "state": "optimized geometry",
  "lattice": [[-1.877, 0.097, -4.410], [-3.501, -2.950, 1.425], [-2.685, 3.778, 1.226]],
  "species": ["Os", "Se", "Se", "Se", "Ge"],
  "fractional_positions": [[0.500, 0.500, 0.500], [0.500, 0.000, 0.000], [0.000, 0.000, 0.500], [0.000, 0.500, 0.000], [0.000, 0.000, 0.000]],
  "n_ef_per_ev_fu": 6.9,
  "spacegroup": "Pm-3m (221)",
  "vol_a3_per_cell": 110
}



#B
{
  "formula": "GeOsSe3",
  "functional": "PBE",
  "state": "optimized geometry",
  "lattice": [[4.908, 0.000, 0.000], [0.000, 4.908, 0.000], [0.000, 0.000, 4.908]],
  "species": ["Se", "Se", "Ge", "Os", "Se"],
  "fractional_positions": [[0.000, 0.000, 0.500], [0.000, 0.500, 0.000], [0.500, 0.500, 0.500], [0.000, 0.000, 0.000], [0.500, 0.000, 0.000]],
  "n_ef_per_ev_fu": 7.6,
  "spacegroup": "Pm-3m (221)",
  "vol_a3_per_cell": 118
}



Relative energies, meV/atom: #A 809; #B 0.



#A
{
  "formula": "Si2Ge2Os",
  "functional": "PBE",
  "state": "optimized geometry",
  "lattice": [[6.229, 0.000, 0.000], [0.000, 6.229, 0.000], [0.000, 0.000, 4.325]],
  "species": ["Ge", "Ge", "Os", "Ge", "Ge", "Si", "Si", "Si", "Si", "Os"],
  "fractional_positions": [[0.821, 0.321, 0.500], [0.321, 0.179, 0.500], [0.000, 0.000, 0.000], [0.179, 0.679, 0.500], [0.679, 0.821, 0.500], [0.137, 0.363, 0.000], [0.863, 0.637, 0.000], [0.637, 0.137, 0.000], [0.363, 0.863, 0.000], [0.500, 0.500, 0.000]],
  "n_ef_per_ev_fu": 1.1,
  "spacegroup": "P4/mbm (127)",
  "vol_a3_per_cell": 168
}



#B
{
  "formula": "Si2Ge2Os",
  "functional": "PBE",
  "state": "optimized geometry",
  "lattice": [[3.311, 0.000, 0.000], [0.000, 3.311, 0.000], [1.656, 1.656, 7.804]],
  "species": ["Ge", "Os", "Si", "Ge", "Si"],
  "fractional_positions": [[0.750, 0.250, 0.500], [0.000, 0.000, 0.000], [0.416, 0.416, 0.169], [0.250, 0.750, 0.500], [0.584, 0.584, 0.831]],
  "n_ef_per_ev_fu": 3.9,
  "spacegroup": "I4/mmm (139)",
  "vol_a3_per_cell": 86
}



Relative energies, meV/atom: #A 0; #B 335.



#A
{
  "formula": "SiGe3Os",
  "functional": "PBE",
  "state": "optimized geometry",
  "lattice": [[4.797, 0.000, 0.000], [0.000, 4.797, 0.000], [0.000, 0.000, 4.797]],
  "species": ["Ge", "Os", "Si", "Ge", "Ge"],
  "fractional_positions": [[0.000, 0.000, 0.500], [0.000, 0.000, 0.000], [0.500, 0.500, 0.500], [0.000, 0.500, 0.000], [0.500, 0.000, 0.000]],
  "n_ef_per_ev_fu": 5.7,
  "spacegroup": "Pm-3m (221)",
  "vol_a3_per_cell": 110
}



#B
{
  "formula": "SiGe3Os",
  "functional": "PBE",
  "state": "optimized geometry",
  "lattice": [[4.639, 0.000, 0.000], [0.000, 4.639, 0.000], [0.000, 0.000, 4.639]],
  "species": ["Ge", "Ge", "Ge", "Os", "Si"],
  "fractional_positions": [[0.000, 0.000, 0.500], [0.000, 0.500, 0.000], [0.500, 0.000, 0.000], [0.500, 0.500, 0.500], [0.000, 0.000, 0.000]],
  "n_ef_per_ev_fu": 4.6,
  "spacegroup": "Pm-3m (221)",
  "vol_a3_per_cell": 100
}



Relative energies, meV/atom: #A 0; #B 700.



#A
{
  "formula": "SiGe2Os",
  "functional": "PBE",
  "state": "optimized geometry",
  "lattice": [[0.000, 3.135, 3.135], [3.135, 0.000, 3.135], [3.135, 3.135, 0.000]],
  "species": ["Ge", "Ge", "Si", "Os"],
  "fractional_positions": [[0.250, 0.250, 0.250], [0.750, 0.750, 0.750], [0.000, 0.000, 0.000], [0.500, 0.500, 0.500]],
  "n_ef_per_ev_fu": 0.8,
  "spacegroup": "Fm-3m (225)",
  "vol_a3_per_cell": 62
}



#B
{
  "formula": "SiGe2Os",
  "functional": "PBE",
  "state": "optimized geometry",
  "lattice": [[-5.428, -1.061, 0.727], [1.189, -2.945, 4.586], [-2.616, 2.688, 5.797]],
  "species": ["Ge", "Ge", "Ge", "Ge", "Os", "Os", "Si", "Si"],
  "fractional_positions": [[0.375, 0.367, 0.750], [0.117, 0.625, 0.250], [0.875, 0.883, 0.750], [0.633, 0.125, 0.250], [0.750, 0.250, 0.500], [0.000, 0.000, 0.000], [0.500, 0.500, 0.000], [0.250, 0.750, 0.500]],
  "n_ef_per_ev_fu": 0.1,
  "spacegroup": "I-42d (122)",
  "vol_a3_per_cell": 176
}



Relative energies, meV/atom: #A 0; #B 93.



#A
{
  "formula": "SnGeOs2",
  "functional": "PBE",
  "state": "optimized geometry",
  "lattice": [[2.176, -3.675, -1.339], [-2.286, -3.716, -0.996], [-0.314, -1.362, -4.252]],
  "species": ["Sn", "Ge", "Os", "Os"],
  "fractional_positions": [[0.500, 0.500, 0.500], [0.000, 0.000, 0.000], [0.250, 0.250, 0.250], [0.750, 0.750, 0.750]],
  "n_ef_per_ev_fu": 0.8,
  "spacegroup": "Fm-3m (225)",
  "vol_a3_per_cell": 63
}



#B
{
  "formula": "SnGeOs2",
  "functional": "PBE",
  "state": "optimized geometry",
  "lattice": [[5.895, 0.000, 0.000], [0.000, 5.895, 0.000], [2.947, 2.947, 5.499]],
  "species": ["Os", "Ge", "Ge", "Sn", "Os", "Sn", "Os", "Os"],
  "fractional_positions": [[0.156, 0.625, 0.250], [0.500, 0.500, 0.000], [0.250, 0.750, 0.500], [0.000, 0.000, 0.000], [0.375, 0.406, 0.750], [0.750, 0.250, 0.500], [0.875, 0.844, 0.750], [0.594, 0.125, 0.250]],
  "n_ef_per_ev_fu": 3.1,
  "spacegroup": "I-42d (122)",
  "vol_a3_per_cell": 191
}



Relative energies, meV/atom: #A 0; #B 846.



#A
{
  "formula": "Sn2Ge2Os",
  "functional": "PBE",
  "state": "optimized geometry",
  "lattice": [[-3.267, 5.577, 2.643], [-0.636, -3.279, 6.132], [3.990, 1.708, 1.327]],
  "species": ["Sn", "Ge", "Ge", "Sn", "Ge", "Sn", "Os", "Os", "Ge", "Sn"],
  "fractional_positions": [[0.846, 0.654, 0.000], [0.658, 0.842, 0.500], [0.158, 0.658, 0.500], [0.154, 0.346, 0.000], [0.842, 0.342, 0.500], [0.346, 0.846, 0.000], [0.000, 0.000, 0.000], [0.500, 0.500, 0.000], [0.342, 0.158, 0.500], [0.654, 0.154, 0.000]],
  "n_ef_per_ev_fu": 3.6,
  "spacegroup": "P4/mbm (127)",
  "vol_a3_per_cell": 221
}



#B
{
  "formula": "Sn2Ge2Os",
  "functional": "PBE",
  "state": "optimized geometry",
  "lattice": [[3.461, 0.000, 0.000], [0.000, 3.461, 0.000], [1.730, 1.730, 8.756]],
  "species": ["Ge", "Os", "Sn", "Ge", "Sn"],
  "fractional_positions": [[0.250, 0.750, 0.500], [0.000, 0.000, 0.000], [0.590, 0.590, 0.821], [0.750, 0.250, 0.500], [0.410, 0.410, 0.179]],
  "n_ef_per_ev_fu": 3.5,
  "spacegroup": "I4/mmm (139)",
  "vol_a3_per_cell": 105
}



Relative energies, meV/atom: #A 128; #B 0.



#A
{
  "formula": "SrGeOs2",
  "functional": "PBE",
  "state": "optimized geometry",
  "lattice": [[0.000, 3.275, 3.275], [3.275, 0.000, 3.275], [3.275, 3.275, 0.000]],
  "species": ["Os", "Ge", "Sr", "Os"],
  "fractional_positions": [[0.750, 0.750, 0.750], [0.000, 0.000, 0.000], [0.500, 0.500, 0.500], [0.250, 0.250, 0.250]],
  "n_ef_per_ev_fu": 6.1,
  "spacegroup": "Fm-3m (225)",
  "vol_a3_per_cell": 70
}



#B
{
  "formula": "SrGeOs2",
  "functional": "PBE",
  "state": "optimized geometry",
  "lattice": [[4.855, 0.000, 0.000], [0.000, 4.855, 0.000], [2.428, 2.428, 8.553]],
  "species": ["Os", "Ge", "Ge", "Sr", "Os", "Os", "Sr", "Os"],
  "fractional_positions": [[0.375, 0.650, 0.750], [0.250, 0.750, 0.500], [0.500, 0.500, 0.000], [0.750, 0.250, 0.500], [0.400, 0.625, 0.250], [0.350, 0.125, 0.250], [0.000, 0.000, 0.000], [0.875, 0.600, 0.750]],
  "n_ef_per_ev_fu": 3.3,
  "spacegroup": "I-42d (122)",
  "vol_a3_per_cell": 202
}



Relative energies, meV/atom: #A 566; #B 0.